TbSm2Mg3Ir2Pt: relaxed, PBE-GGA.

Cell and atoms, written as POSCAR:
```
TbSm2Mg3Ir2Pt
1.0
-3.4664 0.2239 2.1182
3.8698 0.5054 6.2793
-1.8560 6.1344 -3.6857
Sm Mg Tb Ir Pt
2 3 1 2 1
Cartesian
-1.0847 3.5918 -2.1548
2.2648 0.2990 3.6746
-2.1871 1.6240 0.1564
-0.7813 0.2419 2.6032
-0.2152 5.1173 3.0142
0.8304 2.7379 1.0694
0.2122 2.5010 3.9901
-1.6687 4.3500 0.7168
0.0050 0.0166 0.0065
```

Raw total energy = -5.472 eV/atom
SG = No. 38
Calculated volume = 192.84 Å³/f.u.